# 1
AcCdIn4Ag2 | PBE | relaxed

Output
The size of the total moment comes out at 0.00 μB per atom. As for the energy: -2.8586 eV/atom. The calculation puts the formation energy at -0.149 eV/atom.

The structure in POSCAR format:
```
AcCdIn4Ag2
1.0
2.459 1.420 10.017
-2.459 1.420 10.017
0.000 -2.840 10.017
Ac Cd In Ag
1 1 4 2
Cartesian
0.000 0.000 0.000 Ac
0.000 0.000 15.026 Cd
0.000 0.000 3.757 In
0.000 0.000 11.991 In
0.000 0.000 18.060 In
0.000 0.000 26.294 In
0.000 0.000 7.803 Ag
0.000 0.000 22.248 Ag
```

# 2
La4TlGa | PBE | relaxed

Output
The size of the total moment comes out at 0.00 μB per atom. For the distance to the lowest polymorph of the same formula, the calculation gives 0.000 eV per atom. As for the energy: -4.5228 eV/atom. The calculation puts the formation energy at -0.339 eV/atom.

The structure in POSCAR format:
```
La4TlGa
1.0
5.951 0.000 0.000
0.000 7.121 0.000
-1.528 0.000 9.051
La Tl Ga
8 2 2
Cartesian
0.567 0.151 2.357 La
0.567 3.410 2.357 La
0.872 1.780 5.644 La
0.538 5.340 8.612 La
3.886 1.780 0.439 La
3.551 5.340 3.407 La
3.856 3.711 6.695 La
3.856 6.970 6.695 La
0.733 5.340 5.271 Tl
3.690 1.780 3.780 Tl
-0.517 1.780 8.602 Ga
4.940 5.340 0.449 Ga
```

# 3
TaFeP3 | PBE | relaxed

Output
The size of the total moment comes out at 0.67 μB per atom. For the distance to the lowest polymorph of the same formula, the calculation gives 0.072 eV per atom. As for the energy: -6.4953 eV/atom. The calculation puts the formation energy at 0.814 eV/atom.

The structure in POSCAR format:
```
TaFeP3
1.0
4.782 0.000 0.000
0.000 4.782 0.000
0.000 0.000 4.782
Ta Fe P
1 1 3
Cartesian
0.000 0.000 0.000 Ta
2.391 2.391 2.391 Fe
0.000 0.000 2.391 P
0.000 2.391 0.000 P
2.391 0.000 0.000 P
```

# 4
MnAs2Rh2 | PBE | relaxed

Output
The size of the total moment comes out at 0.00 μB per atom. As for the energy: -6.5472 eV/atom. The calculation puts the formation energy at 0.087 eV/atom.

The structure in POSCAR format:
```
MnAs2Rh2
1.0
6.626 0.000 0.000
0.000 6.626 0.000
0.000 0.000 3.341
Mn As Rh
2 4 4
Cartesian
0.000 0.000 0.000 Mn
3.313 3.313 0.000 Mn
1.039 2.274 0.000 As
2.274 5.587 0.000 As
4.352 1.039 0.000 As
5.587 4.352 0.000 As
0.990 4.303 1.670 Rh
2.323 0.990 1.670 Rh
4.303 5.636 1.670 Rh
5.636 2.323 1.670 Rh
```

# 5
Sr5Cl | PBE | relaxed

Output
The size of the total moment comes out at 0.00 μB per atom. For the distance to the lowest polymorph of the same formula, the calculation gives 0.163 eV per atom. As for the energy: -1.9634 eV/atom. The formation energy without anion corrections is -1.5 eV/f.u.

The structure in POSCAR format:
```
Sr5Cl
1.0
7.224 0.000 0.000
-3.612 6.256 0.000
0.000 0.000 6.682
Sr Cl
5 1
Cartesian
-2.455 4.251 0.000 Sr
1.158 2.005 0.000 Sr
0.000 4.171 3.341 Sr
3.612 2.085 3.341 Sr
4.909 0.000 0.000 Sr
0.000 0.000 3.341 Cl
```

# 6
SrSn2Bi2 | PBE | relaxed

Output
The size of the total moment comes out at 0.00 μB per atom. As for the energy: -3.8025 eV/atom. The calculation puts the formation energy at -0.313 eV/atom.

The structure in POSCAR format:
```
SrSn2Bi2
1.0
5.016 0.000 0.000
0.000 4.720 0.000
-2.361 0.000 13.463
Sr Sn Bi
2 4 4
Cartesian
-0.038 1.180 4.088 Sr
2.692 3.540 9.375 Sr
-0.160 3.540 1.092 Sn
0.187 3.540 12.182 Sn
2.467 1.180 1.281 Sn
2.814 1.180 12.371 Sn
0.198 3.540 6.831 Bi
0.193 1.180 9.978 Bi
2.462 3.540 3.486 Bi
2.456 1.180 6.632 Bi
```

# 7
PuThNi | PBE | relaxed

Output
The size of the total moment comes out at 1.91 μB per atom. For the distance to the lowest polymorph of the same formula, the calculation gives 0.141 eV per atom. As for the energy: -9.1362 eV/atom. The calculation puts the formation energy at 0.041 eV/atom.

The structure in POSCAR format:
```
PuThNi
1.0
3.698 0.000 0.000
-1.849 3.202 0.000
0.000 0.000 6.292
Pu Th Ni
1 1 1
Cartesian
0.000 0.000 0.000 Pu
1.849 1.067 2.767 Th
0.000 2.135 4.504 Ni
```

# 8
Pa3VRh12 | PBE | relaxed

Output
The size of the total moment comes out at 0.00 μB per atom. As for the energy: -8.6044 eV/atom. The calculation puts the formation energy at -0.740 eV/atom.

The structure in POSCAR format:
```
Pa3VRh12
1.0
4.006 0.000 0.000
0.000 4.006 0.000
0.000 0.000 15.952
Pa V Rh
3 1 12
Cartesian
0.000 0.000 0.000 Pa
0.000 0.000 4.093 Pa
0.000 0.000 11.860 Pa
0.000 0.000 7.976 V
0.000 2.003 2.058 Rh
0.000 2.003 6.183 Rh
0.000 2.003 9.770 Rh
0.000 2.003 13.894 Rh
2.003 0.000 2.058 Rh
2.003 0.000 6.183 Rh
2.003 0.000 9.770 Rh
2.003 0.000 13.894 Rh
2.003 2.003 0.000 Rh
2.003 2.003 4.118 Rh
2.003 2.003 7.976 Rh
2.003 2.003 11.834 Rh
```

# 9
Pm4HoTh | PBE | relaxed

Output
The size of the total moment comes out at 0.25 μB per atom. For the distance to the lowest polymorph of the same formula, the calculation gives 0.284 eV per atom. As for the energy: -4.8408 eV/atom. The calculation puts the formation energy at 0.326 eV/atom.

The structure in POSCAR format:
```
Pm4HoTh
1.0
0.000 4.671 4.671
4.671 0.000 4.671
4.671 4.671 0.000
Pm Ho Th
4 1 1
Cartesian
1.166 1.166 1.166 Pm
3.505 3.505 1.166 Pm
3.505 1.166 3.505 Pm
1.166 3.505 3.505 Pm
4.671 4.671 4.671 Ho
7.006 7.006 7.006 Th
```

# 10
KNbTe2I | PBE | relaxed

Output
The size of the total moment comes out at 0.25 μB per atom. For the distance to the lowest polymorph of the same formula, the calculation gives 1.660 eV per atom. As for the energy: -2.5824 eV/atom. The formation energy without anion corrections is 6.1 eV/f.u.

The structure in POSCAR format:
```
KNbTe2I
1.0
6.025 0.000 0.000
0.000 6.025 0.000
0.000 0.000 5.993
K Nb Te I
1 1 2 1
Cartesian
0.000 0.000 0.000 K
3.012 3.012 2.997 Nb
0.000 3.012 0.000 Te
3.012 0.000 0.000 Te
0.000 0.000 2.997 I
```

# 11
YCrCl2 | PBE | relaxed

Output
The size of the total moment comes out at 1.25 μB per atom. For the distance to the lowest polymorph of the same formula, the calculation gives 0.011 eV per atom. As for the energy: -5.7527 eV/atom. The formation energy without anion corrections is -3.2 eV/f.u.

The structure in POSCAR format:
```
YCrCl2
1.0
3.640 0.000 0.000
0.000 1.919 7.731
0.000 -1.919 7.731
Y Cr Cl
1 1 2
Cartesian
0.000 0.000 0.000 Y
1.820 0.000 9.562 Cr
0.000 0.000 2.775 Cl
1.820 0.000 13.526 Cl
```

# 12
YMnAs2Se | PBE | relaxed

Output
The size of the total moment comes out at 0.56 μB per atom. For the distance to the lowest polymorph of the same formula, the calculation gives 0.000 eV per atom. As for the energy: -6.0315 eV/atom. The formation energy without anion corrections is -1.7 eV/f.u.

The structure in POSCAR format:
```
YMnAs2Se
1.0
4.658 0.000 0.000
0.000 4.658 0.000
0.000 0.000 5.068
Y Mn As Se
1 1 2 1
Cartesian
0.000 0.000 0.000 Y
2.329 2.329 2.534 Mn
0.000 2.329 2.534 As
2.329 0.000 2.534 As
2.329 2.329 0.000 Se
```

# 13
Nd2In9Hg | PBE | relaxed

Output
The size of the total moment comes out at 0.00 μB per atom. As for the energy: -3.1459 eV/atom. The calculation puts the formation energy at -0.272 eV/atom.

The structure in POSCAR format:
```
Nd2In9Hg
1.0
4.670 0.000 0.000
0.000 4.670 0.000
0.000 0.000 14.604
Nd In Hg
2 9 1
Cartesian
0.000 0.000 2.355 Nd
0.000 0.000 12.250 Nd
0.000 2.335 0.000 In
0.000 2.335 4.836 In
0.000 2.335 9.768 In
2.335 0.000 0.000 In
2.335 0.000 4.836 In
2.335 0.000 9.768 In
2.335 2.335 2.353 In
2.335 2.335 7.302 In
2.335 2.335 12.252 In
0.000 0.000 7.302 Hg
```

# 14
BaTbS2 | PBE | relaxed

Output
The size of the total moment comes out at 0.00 μB per atom. For the distance to the lowest polymorph of the same formula, the calculation gives 0.000 eV per atom. As for the energy: -5.7167 eV/atom. The formation energy without anion corrections is -8.1 eV/f.u.

The structure in POSCAR format:
```
BaTbS2
1.0
3.575 -2.063 0.000
3.575 2.063 0.000
-2.369 0.000 7.148
Ba Tb S
1 1 2
Cartesian
0.000 0.000 0.000 Ba
2.390 0.000 3.574 Tb
0.010 0.000 5.077 S
4.771 0.000 2.071 S
```

# 15
Pr4S3NCl3 | PBE | relaxed

Output
The size of the total moment comes out at 0.00 μB per atom. As for the energy: -6.2003 eV/atom. The formation energy without anion corrections is -22.8 eV/f.u.

The structure in POSCAR format:
```
Pr4S3NCl3
1.0
9.442 0.000 0.000
-4.721 8.177 0.000
0.000 0.000 6.934
Pr S N Cl
8 6 2 6
Cartesian
0.000 3.302 0.000 Pr
-1.861 6.526 0.000 Pr
0.000 5.451 3.704 Pr
2.859 1.651 3.467 Pr
1.861 6.526 0.000 Pr
4.721 2.726 0.238 Pr
6.582 1.651 3.467 Pr
4.721 4.875 3.467 Pr
-1.902 4.353 1.925 S
1.902 4.353 1.925 S
0.000 7.647 1.925 S
4.721 0.529 5.392 S
2.819 3.824 5.392 S
6.623 3.824 5.392 S
0.000 5.451 6.099 N
4.721 2.726 2.632 N
0.000 2.158 4.227 Cl
-2.852 7.098 4.227 Cl
1.869 1.079 0.761 Cl
2.852 7.098 4.227 Cl
7.573 1.079 0.761 Cl
4.721 6.019 0.761 Cl
```

# 16
BMo2Pd | PBE | relaxed

Output
The size of the total moment comes out at 0.00 μB per atom. As for the energy: -7.5656 eV/atom. The calculation puts the formation energy at 0.817 eV/atom.

The structure in POSCAR format:
```
BMo2Pd
1.0
-1.818 1.818 8.941
1.818 -1.818 8.941
1.818 1.818 -8.941
B Mo Pd
2 4 2
Cartesian
0.000 0.000 0.000 B
0.000 1.818 4.470 B
2.728 0.794 -2.235 Mo
0.794 0.909 2.235 Mo
-0.909 1.025 6.706 Mo
1.025 0.909 11.176 Mo
1.818 0.000 4.470 Pd
0.000 0.000 8.941 Pd
```

# 17
SiHgMo | PBE | relaxed

Output
The size of the total moment comes out at 0.00 μB per atom. For the distance to the lowest polymorph of the same formula, the calculation gives 0.168 eV per atom. As for the energy: -5.3291 eV/atom. The formation energy without anion corrections is 0.6 eV/f.u.

The structure in POSCAR format:
```
SiHgMo
1.0
5.143 0.000 0.000
0.000 4.237 0.000
-2.169 0.000 5.031
Si Hg Mo
2 2 2
Cartesian
0.000 0.000 0.000 Si
2.571 0.000 0.000 Si
-1.085 0.000 2.515 Hg
1.487 2.118 2.515 Hg
-0.862 2.118 4.484 Mo
3.836 2.118 0.547 Mo
```

# 18
LiVGe2 | PBE | relaxed

Output
The size of the total moment comes out at 0.00 μB per atom. For the distance to the lowest polymorph of the same formula, the calculation gives 0.107 eV per atom. As for the energy: -5.0828 eV/atom. The calculation puts the formation energy at -0.016 eV/atom.

The structure in POSCAR format:
```
LiVGe2
1.0
1.456 0.841 9.121
-1.456 0.841 9.121
0.000 -1.681 9.121
Li V Ge
1 1 2
Cartesian
0.000 0.000 0.000 Li
0.000 0.000 13.682 V
0.000 0.000 2.508 Ge
0.000 0.000 24.856 Ge
```

# 19
Pm3CdPb4 | PBE | relaxed

Output
The size of the total moment comes out at 0.00 μB per atom. As for the energy: -4.1564 eV/atom. The calculation puts the formation energy at -0.406 eV/atom.

The structure in POSCAR format:
```
Pm3CdPb4
1.0
10.561 0.000 0.000
0.000 6.726 0.000
0.000 0.000 6.610
Pm Cd Pb
6 2 8
Cartesian
0.000 0.509 0.000 Pm
2.398 4.606 4.974 Pm
2.883 2.120 1.670 Pm
5.281 6.217 3.305 Pm
7.678 2.120 1.670 Pm
8.163 4.606 4.974 Pm
0.000 3.751 0.322 Cd
5.281 2.976 3.627 Cd
0.000 2.964 3.309 Pb
0.000 6.534 3.330 Pb
2.512 5.436 1.602 Pb
2.769 1.290 4.907 Pb
5.281 0.193 0.026 Pb
5.281 3.763 0.004 Pb
7.792 1.290 4.907 Pb
8.049 5.436 1.602 Pb
```

# 20
BaGa2Ni2 | PBE | relaxed

Output
The size of the total moment comes out at 0.00 μB per atom. As for the energy: -4.1594 eV/atom. The calculation puts the formation energy at -0.252 eV/atom.

The structure in POSCAR format:
```
BaGa2Ni2
1.0
-2.123 2.123 5.472
2.123 -2.123 5.472
2.123 2.123 -5.472
Ba Ga Ni
1 2 2
Cartesian
0.000 0.000 0.000 Ba
2.123 0.000 2.736 Ga
0.000 2.123 2.736 Ga
0.000 0.000 4.046 Ni
0.000 0.000 6.898 Ni
```

# 21
La12Tl5Ru2 | PBE | relaxed

Output
The size of the total moment comes out at 0.00 μB per atom. As for the energy: -4.8904 eV/atom. The calculation puts the formation energy at -0.179 eV/atom.

The structure in POSCAR format:
```
La12Tl5Ru2
1.0
8.877 -4.065 0.000
8.877 4.065 0.000
-2.990 0.000 9.859
La Tl Ru
12 5 2
Cartesian
-0.800 0.000 2.730 La
4.806 2.183 4.110 La
3.389 1.987 9.092 La
9.959 2.183 5.750 La
11.375 1.987 0.768 La
6.785 0.000 6.713 La
7.979 0.000 3.147 La
3.389 -1.987 9.092 La
4.806 -2.183 4.110 La
11.375 -1.987 0.768 La
9.959 -2.183 5.750 La
15.564 0.000 7.129 La
0.842 0.000 8.509 Tl
2.457 0.000 3.320 Tl
8.877 0.000 0.000 Tl
12.308 0.000 6.540 Tl
13.923 0.000 1.351 Tl
7.382 2.247 4.930 Ru
7.382 -2.247 4.930 Ru
```

# 22
Fe2IrCl | PBE | relaxed

Output
The size of the total moment comes out at 1.76 μB per atom. For the distance to the lowest polymorph of the same formula, the calculation gives 0.093 eV per atom. As for the energy: -6.6871 eV/atom. The formation energy without anion corrections is 0.9 eV/f.u.

The structure in POSCAR format:
```
Fe2IrCl
1.0
2.871 0.000 0.000
0.000 2.871 0.000
0.000 0.000 7.174
Fe Ir Cl
2 1 1
Cartesian
0.000 0.000 1.692 Fe
0.000 0.000 5.481 Fe
1.436 1.436 0.000 Ir
1.436 1.436 3.587 Cl
```

# 23
Y5ErTh | PBE | relaxed

Output
The size of the total moment comes out at 0.00 μB per atom. As for the energy: -6.1216 eV/atom. The calculation puts the formation energy at 0.207 eV/atom.

The structure in POSCAR format:
```
Y5ErTh
1.0
3.069 -8.783 0.000
3.069 8.783 0.000
-1.752 0.000 8.538
Y Er Th
10 2 2
Cartesian
0.093 3.270 5.514 Y
1.756 6.196 6.404 Y
2.308 2.696 0.320 Y
0.969 -3.270 1.245 Y
2.955 2.696 3.949 Y
1.432 -2.696 4.589 Y
3.418 3.270 7.293 Y
2.079 -2.696 8.218 Y
2.631 -6.196 2.135 Y
4.294 -3.270 3.024 Y
1.756 0.235 6.404 Er
2.631 -0.235 2.135 Er
0.000 0.000 0.000 Th
-0.876 0.000 4.269 Th
```